Computed, not measured: a relaxed structure of AcTb6Sm12 at the PBE level of DFT.

Lattice parameters (Å, degrees): 8.857 8.857 8.857 99.14 99.14 99.14
Atoms (fractional coordinates):
1 Ac 0.000 0.000 0.000
2 Tb 0.102 0.102 0.656
3 Tb 0.102 0.656 0.102
4 Tb 0.344 0.898 0.898
5 Tb 0.656 0.102 0.102
6 Tb 0.898 0.344 0.898
7 Tb 0.898 0.898 0.344
8 Sm 0.081 0.355 0.355
9 Sm 0.240 0.500 0.760
10 Sm 0.240 0.760 0.500
11 Sm 0.355 0.081 0.355
12 Sm 0.355 0.355 0.081
13 Sm 0.500 0.240 0.760
14 Sm 0.500 0.760 0.240
15 Sm 0.645 0.645 0.919
16 Sm 0.645 0.919 0.645
17 Sm 0.760 0.240 0.500
18 Sm 0.760 0.500 0.240
19 Sm 0.919 0.645 0.645

Results
symmetry: No. 166
N(E_F): 35.3 states/eV/cell
size of the total moment: 0.00 μB per formula unit
calculated volume: 665 Å³ per cell


Computed, not measured: a relaxed structure of Ac5TbSm4 at the PBE level of DFT.

Lattice parameters (Å, degrees): 3.876 3.876 25.801 90.00 90.00 90.00
Atoms (fractional coordinates):
1 Ac 0.000 0.000 0.000
2 Ac 0.000 0.000 0.201
3 Ac 0.000 0.000 0.402
4 Ac 0.000 0.000 0.598
5 Ac 0.000 0.000 0.799
6 Tb 0.500 0.500 0.500
7 Sm 0.500 0.500 0.101
8 Sm 0.500 0.500 0.302
9 Sm 0.500 0.500 0.698
10 Sm 0.500 0.500 0.899

Results
symmetry: No. 123
N(E_F): 16.2 states/eV/cell
size of the total moment: 0.00 μB per formula unit
calculated volume: 388 Å³ per cell


Computed, not measured: a relaxed structure of AcTb2Sm6 at the PBE level of DFT.

Lattice parameters (Å, degrees): 3.671 8.936 9.652 90.43 100.95 90.08
Atoms (fractional coordinates):
1 Ac 0.000 0.000 0.000
2 Tb 0.443 0.660 0.887
3 Tb 0.557 0.340 0.113
4 Sm 0.112 0.664 0.223
5 Sm 0.222 0.336 0.443
6 Sm 0.330 0.001 0.661
7 Sm 0.670 0.999 0.339
8 Sm 0.778 0.664 0.557
9 Sm 0.888 0.336 0.777

Results
symmetry: No. 2
N(E_F): 13.5 states/eV/cell
size of the total moment: 0.00 μB per formula unit
calculated volume: 311 Å³ per cell


Computed, not measured: a relaxed structure of Ac5TbSm at the PBE level of DFT.

Lattice parameters (Å, degrees): 12.738 12.738 7.196 93.65 93.65 148.31
Atoms (fractional coordinates):
1 Ac 0.138 0.862 0.750
2 Ac 0.187 0.281 0.659
3 Ac 0.269 0.676 0.498
4 Ac 0.281 0.187 0.159
5 Ac 0.324 0.731 0.002
6 Ac 0.676 0.269 0.998
7 Ac 0.719 0.813 0.841
8 Ac 0.731 0.324 0.502
9 Ac 0.813 0.719 0.341
10 Ac 0.862 0.138 0.250
11 Tb 0.420 0.580 0.250
12 Tb 0.580 0.420 0.750
13 Sm 0.170 0.830 0.250
14 Sm 0.830 0.170 0.750

Results
symmetry: No. 15
N(E_F): 20.6 states/eV/cell
size of the total moment: 0.00 μB per formula unit
calculated volume: 596 Å³ per cell


Computed, not measured: a relaxed structure of AcTb3Sm7 at the PBE level of DFT.

Lattice parameters (Å, degrees): 7.232 7.232 8.752 90.00 90.00 120.00
Atoms (fractional coordinates):
1 Ac 0.000 0.000 0.000
2 Tb 0.168 0.337 0.658
3 Tb 0.168 0.832 0.658
4 Tb 0.663 0.832 0.658
5 Sm 0.002 0.501 0.992
6 Sm 0.333 0.667 0.324
7 Sm 0.334 0.167 0.335
8 Sm 0.499 0.501 0.992
9 Sm 0.499 0.998 0.992
10 Sm 0.833 0.167 0.335
11 Sm 0.833 0.666 0.335

Results
symmetry: No. 156
N(E_F): 17.4 states/eV/cell
size of the total moment: 0.00 μB per formula unit
calculated volume: 396 Å³ per cell


Computed, not measured: a relaxed structure of AcTb2Sm6 at the PBE level of DFT.

Lattice parameters (Å, degrees): 3.666 3.666 27.088 90.00 90.00 120.00
Atoms (fractional coordinates):
1 Ac 0.000 0.000 0.000
2 Tb 0.333 0.667 0.332
3 Tb 0.333 0.667 0.668
4 Sm 0.000 0.000 0.224
5 Sm 0.000 0.000 0.435
6 Sm 0.000 0.000 0.565
7 Sm 0.000 0.000 0.776
8 Sm 0.333 0.667 0.117
9 Sm 0.333 0.667 0.883

Results
symmetry: No. 187
N(E_F): 14.7 states/eV/cell
size of the total moment: 0.01 μB per formula unit
calculated volume: 315 Å³ per cell


Computed, not measured: a relaxed structure of Ac2TbSm2 at the PBE level of DFT.

Lattice parameters (Å, degrees): 4.937 4.937 16.643 90.00 90.00 90.00
Atoms (fractional coordinates):
1 Ac 0.000 0.500 0.250
2 Ac 0.000 0.500 0.750
3 Ac 0.500 0.000 0.250
4 Ac 0.500 0.000 0.750
5 Tb 0.000 0.000 0.000
6 Tb 0.500 0.500 0.500
7 Sm 0.000 0.000 0.409
8 Sm 0.000 0.000 0.591
9 Sm 0.500 0.500 0.091
10 Sm 0.500 0.500 0.909

Results
symmetry: No. 139
N(E_F): 19.6 states/eV/cell
size of the total moment: 0.00 μB per formula unit
calculated volume: 406 Å³ per cell


Computed, not measured: a relaxed structure of Ac2TbSm3 at the PBE level of DFT.

Lattice parameters (Å, degrees): 9.132 9.132 9.611 98.27 98.27 37.63
Atoms (fractional coordinates):
1 Ac 0.184 0.184 0.409
2 Ac 0.315 0.315 0.099
3 Ac 0.685 0.685 0.901
4 Ac 0.816 0.816 0.591
5 Tb 0.031 0.031 0.682
6 Tb 0.969 0.969 0.318
7 Sm 0.092 0.092 0.040
8 Sm 0.409 0.409 0.455
9 Sm 0.464 0.464 0.816
10 Sm 0.536 0.536 0.184
11 Sm 0.591 0.591 0.545
12 Sm 0.908 0.908 0.960

Results
symmetry: No. 12
N(E_F): 21.9 states/eV/cell
size of the total moment: 0.00 μB per formula unit
calculated volume: 484 Å³ per cell


Number 1: formation enthalpy at 0 K 0.197 eV/atom. Number 2: formation enthalpy at 0 K 0.038 eV/atom. Number 3: formation enthalpy at 0 K 0.029 eV/atom. Number 4: formation enthalpy at 0 K 0.227 eV/atom. Number 5: formation enthalpy at 0 K 0.202 eV/atom. Number 6: formation enthalpy at 0 K 0.071 eV/atom. Number 7: formation enthalpy at 0 K 0.464 eV/atom. Number 8: formation enthalpy at 0 K 0.282 eV/atom.